[1]
# K2NiAgI6, relaxed, DFT PBE-GGA
data_K2NiAgI6
_cell_length_a 7.722
_cell_length_b 8.326
_cell_length_c 13.564
_cell_angle_alpha 90.00
_cell_angle_beta 123.38
_cell_angle_gamma 90.00
_symmetry_space_group_name_H-M 'P 1 21/c 1'
_symmetry_Int_Tables_number 14
loop_
_symmetry_equiv_pos_as_xyz
'x,y,z'
'-x,-y,-z'
'-x,y+1/2,-z+1/2'
'x,-y+1/2,z+1/2'
loop_
_atom_site_label
_atom_site_type_symbol
_atom_site_fract_x
_atom_site_fract_y
_atom_site_fract_z
K1 K 0.219 0.087 0.249
Ni1 Ni 0.500 0.000 0.000
Ag1 Ag 0.000 0.000 0.500
I1 I 0.188 0.174 0.964
I2 I 0.266 0.693 0.972
I3 I 0.341 0.515 0.272
# energy relative to the elements, uncorrected	-0.621	eV per atom
# N(E_F)	1.71	states/eV/f.u.
# ρ	4.59	g/cm³



[2]
# Hf2Ag2Pb, relaxed, DFT PBE-GGA
data_Hf2Ag2Pb
_cell_length_a 8.081
_cell_length_b 8.081
_cell_length_c 3.278
_cell_angle_alpha 90.00
_cell_angle_beta 90.00
_cell_angle_gamma 90.00
_symmetry_space_group_name_H-M 'P 4/m b m'
_symmetry_Int_Tables_number 127
_symmetry_space_group_name_Hall '-P 4 2ab'
loop_
_atom_site_label
_atom_site_type_symbol
_atom_site_fract_x
_atom_site_fract_y
_atom_site_fract_z
Hf1 Hf 0.171 0.329 0.000
Ag1 Ag 0.124 0.624 0.500
Pb1 Pb 0.000 0.000 0.500
# formation energy	0.14	eV/atom
# N(E_F)	3.19	states/eV/f.u.
# ρ	12.10	g/cm³
# distance to the lowest polymorph of the same formula	0.0	kJ/mol of formula units



[3]
# RbTl3Cd, relaxed, DFT PBE-GGA
data_RbTl3Cd
_cell_length_a 6.563
_cell_length_b 6.563
_cell_length_c 6.563
_cell_angle_alpha 90.00
_cell_angle_beta 90.00
_cell_angle_gamma 90.00
_symmetry_space_group_name_H-M 'P m -3 m'
_symmetry_Int_Tables_number 221
_symmetry_space_group_name_Hall '-P 4 2 3'
loop_
_atom_site_label
_atom_site_type_symbol
_atom_site_fract_x
_atom_site_fract_y
_atom_site_fract_z
Rb1 Rb 0.000 0.000 0.000
Tl1 Tl 0.000 0.000 0.500
Cd1 Cd 0.500 0.500 0.500
# formation energy	0.76	eV/atom
# N(E_F)	11.87	states/eV/f.u.
# ρ	4.76	g/cm³
# distance to the lowest polymorph of the same formula	396.5	kJ/mol of formula units



[4]
# ZrAlNi, relaxed, DFT PBE-GGA
data_ZrAlNi
_cell_length_a 3.952
_cell_length_b 3.952
_cell_length_c 6.304
_cell_angle_alpha 90.00
_cell_angle_beta 90.00
_cell_angle_gamma 90.00
_symmetry_space_group_name_H-M 'P 4/n m m'
_symmetry_Int_Tables_number 129
loop_
_symmetry_equiv_pos_as_xyz
'x,y,z'
'-x,-y,-z'
'-y+1/2,x,z'
'y+1/2,-x,-z'
'-x+1/2,-y+1/2,z'
'x+1/2,y+1/2,-z'
'y,-x+1/2,z'
'-y,x+1/2,-z'
'x+1/2,-y,-z'
'-x+1/2,y,z'
'-y,-x,-z'
'y,x,z'
'-x,y+1/2,-z'
'x,-y+1/2,z'
'y+1/2,x+1/2,-z'
'-y+1/2,-x+1/2,z'
loop_
_atom_site_label
_atom_site_type_symbol
_atom_site_fract_x
_atom_site_fract_y
_atom_site_fract_z
Zr1 Zr 0.250 0.250 0.142
Al1 Al 0.250 0.750 0.500
Ni1 Ni 0.250 0.250 0.739
# formation energy	-0.53	eV/atom
# N(E_F)	2.36	states/eV/f.u.
# ρ	5.97	g/cm³



[5]
# LaNd6Hg, relaxed, DFT PBE-GGA
data_LaNd6Hg
_cell_length_a 9.6817
_cell_length_b 9.6817
_cell_length_c 10.0735
_cell_angle_alpha 90.00
_cell_angle_beta 90.00
_cell_angle_gamma 120.00
_symmetry_space_group_name_H-M 'R -3'
_symmetry_Int_Tables_number 148
_symmetry_space_group_name_Hall '-R 3'
loop_
_atom_site_label
_atom_site_type_symbol
_atom_site_fract_x
_atom_site_fract_y
_atom_site_fract_z
La1 La 0.0000 0.0000 0.0000
Nd1 Nd 0.0257 0.2578 0.7110
Hg1 Hg 0.0000 0.0000 0.5000
# formation energy	-0.03	eV/atom
# N(E_F)	11.08	states/eV/f.u.
# ρ	7.34	g/cm³



[6]
# AlBO3, relaxed, DFT PBE-GGA
data_AlBO3
_cell_length_a 4.5052
_cell_length_b 4.5052
_cell_length_c 13.9015
_cell_angle_alpha 90.00
_cell_angle_beta 90.00
_cell_angle_gamma 120.00
_symmetry_space_group_name_H-M 'R -3 c'
_symmetry_Int_Tables_number 167
_symmetry_space_group_name_Hall '-R 3 2"c'
loop_
_atom_site_label
_atom_site_type_symbol
_atom_site_fract_x
_atom_site_fract_y
_atom_site_fract_z
Al1 Al 0.0000 0.0000 0.0000
B1 B 0.0000 0.0000 0.2500
O1 O 0.0000 0.3080 0.2500
# energy relative to the elements, uncorrected	-2.700	eV per atom
# N(E_F)	0.00	states/eV/f.u.
# ρ	3.50	g/cm³



[7]
# CePr2Rh, relaxed, DFT PBE-GGA
data_CePr2Rh
_cell_length_a 3.7590
_cell_length_b 3.7590
_cell_length_c 32.0317
_cell_angle_alpha 90.00
_cell_angle_beta 90.00
_cell_angle_gamma 120.00
_symmetry_space_group_name_H-M 'R -3 m'
_symmetry_Int_Tables_number 166
_symmetry_space_group_name_Hall '-R 3 2"'
loop_
_atom_site_label
_atom_site_type_symbol
_atom_site_fract_x
_atom_site_fract_y
_atom_site_fract_z
Ce1 Ce 0.0000 0.0000 0.0000
Pr1 Pr 0.0000 0.0000 0.1097
Rh1 Rh 0.0000 0.0000 0.5000
# formation energy	-0.01	eV/atom
# N(E_F)	8.57	states/eV/f.u.
# ρ	6.67	g/cm³
# distance to the lowest polymorph of the same formula	144.1	kJ/mol of formula units



[8]
# CoAg2S2, relaxed, DFT PBE-GGA
data_CoAg2S2
_cell_length_a 5.692
_cell_length_b 5.692
_cell_length_c 5.181
_cell_angle_alpha 90.00
_cell_angle_beta 90.00
_cell_angle_gamma 90.00
_symmetry_space_group_name_H-M 'P 4/m b m'
_symmetry_Int_Tables_number 127
_symmetry_space_group_name_Hall '-P 4 2ab'
loop_
_atom_site_label
_atom_site_type_symbol
_atom_site_fract_x
_atom_site_fract_y
_atom_site_fract_z
Co1 Co 0.000 0.000 0.000
Ag1 Ag 0.186 0.314 0.500
S1 S 0.141 0.359 0.000
# energy relative to the elements, uncorrected	0.094	eV per atom
# N(E_F)	2.80	states/eV/f.u.
# ρ	6.70	g/cm³



[9]
# BMo3Pb, relaxed, DFT PBE-GGA
data_BMo3Pb
_cell_length_a 4.306
_cell_length_b 4.306
_cell_length_c 4.306
_cell_angle_alpha 90.00
_cell_angle_beta 90.00
_cell_angle_gamma 90.00
_symmetry_space_group_name_H-M 'P m -3 m'
_symmetry_Int_Tables_number 221
_symmetry_space_group_name_Hall '-P 4 2 3'
loop_
_atom_site_label
_atom_site_type_symbol
_atom_site_fract_x
_atom_site_fract_y
_atom_site_fract_z
B1 B 0.000 0.000 0.000
Mo1 Mo 0.000 0.000 0.500
Pb1 Pb 0.500 0.500 0.500
# formation energy	0.40	eV/atom
# N(E_F)	3.91	states/eV/f.u.
# ρ	10.52	g/cm³
# distance to the lowest polymorph of the same formula	0.0	kJ/mol of formula units



[10]
# NaHO2, relaxed, DFT PBE-GGA
data_NaHO2
_cell_length_a 2.9114
_cell_length_b 2.9114
_cell_length_c 17.2199
_cell_angle_alpha 90.00
_cell_angle_beta 90.00
_cell_angle_gamma 120.00
_symmetry_space_group_name_H-M 'R -3 m'
_symmetry_Int_Tables_number 166
_symmetry_space_group_name_Hall '-R 3 2"'
loop_
_atom_site_label
_atom_site_type_symbol
_atom_site_fract_x
_atom_site_fract_y
_atom_site_fract_z
Na1 Na 0.0000 0.0000 0.0000
H1 H 0.0000 0.0000 0.5000
O1 O 0.0000 0.0000 0.1225
# N(E_F)	1.13	states/eV/f.u.
# ρ	2.21	g/cm³
# distance to the lowest polymorph of the same formula	360.0	kJ/mol of formula units



[11]
# Ta4NbRe5, relaxed, DFT PBE-GGA
data_Ta4NbRe5
_cell_length_a 3.202
_cell_length_b 3.202
_cell_length_c 16.017
_cell_angle_alpha 90.00
_cell_angle_beta 90.00
_cell_angle_gamma 90.00
_symmetry_space_group_name_H-M 'P 4/m m m'
_symmetry_Int_Tables_number 123
_symmetry_space_group_name_Hall '-P 4 2'
loop_
_atom_site_label
_atom_site_type_symbol
_atom_site_fract_x
_atom_site_fract_y
_atom_site_fract_z
Ta1 Ta 0.000 0.000 0.100
Ta2 Ta 0.000 0.000 0.300
Nb1 Nb 0.000 0.000 0.500
Re1 Re 0.500 0.500 0.000
Re2 Re 0.500 0.500 0.200
Re3 Re 0.500 0.500 0.400
# formation energy	-0.39	eV/atom
# N(E_F)	3.39	states/eV/f.u.
# ρ	17.67	g/cm³



[12]
# VNiRh2, relaxed, DFT PBE-GGA
data_VNiRh2
_cell_length_a 6.612
_cell_length_b 6.612
_cell_length_c 5.320
_cell_angle_alpha 90.00
_cell_angle_beta 90.00
_cell_angle_gamma 90.00
_symmetry_space_group_name_H-M 'I -4 2 d'
_symmetry_Int_Tables_number 122
_symmetry_space_group_name_Hall 'I -4 2bw'
loop_
_atom_site_label
_atom_site_type_symbol
_atom_site_fract_x
_atom_site_fract_y
_atom_site_fract_z
V1 V 0.000 0.000 0.000
Ni1 Ni 0.000 0.000 0.500
Rh1 Rh 0.226 0.250 0.125
# formation energy	0.16	eV/atom
# N(E_F)	5.50	states/eV/f.u.
# ρ	9.01	g/cm³



[13]
# Li2Ce2SmIn2, relaxed, DFT PBE-GGA
data_Li2Ce2SmIn2
_cell_length_a 4.6664
_cell_length_b 4.6664
_cell_length_c 27.3996
_cell_angle_alpha 90.00
_cell_angle_beta 90.00
_cell_angle_gamma 120.00
_symmetry_space_group_name_H-M 'R -3 m'
_symmetry_Int_Tables_number 166
_symmetry_space_group_name_Hall '-R 3 2"'
loop_
_atom_site_label
_atom_site_type_symbol
_atom_site_fract_x
_atom_site_fract_y
_atom_site_fract_z
Li1 Li 0.0000 0.0000 0.0880
Ce1 Ce 0.0000 0.0000 0.3562
Sm1 Sm 0.0000 0.0000 0.5000
In1 In 0.0000 0.0000 0.2362
# formation energy	-0.22	eV/atom
# N(E_F)	9.79	states/eV/f.u.
# ρ	6.50	g/cm³



[14]
# Co2IrSe, relaxed, DFT PBE-GGA
data_Co2IrSe
_cell_length_a 2.817
_cell_length_b 4.534
_cell_length_c 9.326
_cell_angle_alpha 90.00
_cell_angle_beta 90.00
_cell_angle_gamma 90.00
_symmetry_space_group_name_H-M 'C m m 2'
_symmetry_Int_Tables_number 35
loop_
_symmetry_equiv_pos_as_xyz
'x,y,z'
'-x,-y,z'
'-x,y,z'
'x,-y,z'
'x+1/2,y+1/2,z'
'-x+1/2,-y+1/2,z'
'-x+1/2,y+1/2,z'
'x+1/2,-y+1/2,z'
loop_
_atom_site_label
_atom_site_type_symbol
_atom_site_fract_x
_atom_site_fract_y
_atom_site_fract_z
Co1 Co 0.000 0.000 0.000
Co2 Co 0.000 0.500 0.207
Ir1 Ir 0.000 0.000 0.432
Se1 Se 0.000 0.500 0.780
# energy relative to the elements, uncorrected	0.496	eV per atom
# N(E_F)	5.69	states/eV/f.u.
# ρ	10.85	g/cm³



[15]
# Y2Tm2Th, relaxed, DFT PBE-GGA
data_Y2Tm2Th
_cell_length_a 9.361
_cell_length_b 9.361
_cell_length_c 3.650
_cell_angle_alpha 90.00
_cell_angle_beta 90.00
_cell_angle_gamma 90.00
_symmetry_space_group_name_H-M 'P 4/m b m'
_symmetry_Int_Tables_number 127
_symmetry_space_group_name_Hall '-P 4 2ab'
loop_
_atom_site_label
_atom_site_type_symbol
_atom_site_fract_x
_atom_site_fract_y
_atom_site_fract_z
Y1 Y 0.174 0.326 0.000
Tm1 Tm 0.123 0.623 0.500
Th1 Th 0.000 0.000 0.500
# formation energy	0.15	eV/atom
# N(E_F)	7.15	states/eV/f.u.
# ρ	7.76	g/cm³
# distance to the lowest polymorph of the same formula	0.0	kJ/mol of formula units



[16]
# SrCdRh2, relaxed, DFT PBE-GGA
data_SrCdRh2
_cell_length_a 10.882
_cell_length_b 3.083
_cell_length_c 5.069
_cell_angle_alpha 90.00
_cell_angle_beta 110.61
_cell_angle_gamma 90.00
_symmetry_space_group_name_H-M 'C 1 m 1'
_symmetry_Int_Tables_number 8
loop_
_symmetry_equiv_pos_as_xyz
'x,y,z'
'x,-y,z'
'x+1/2,y+1/2,z'
'x+1/2,-y+1/2,z'
loop_
_atom_site_label
_atom_site_type_symbol
_atom_site_fract_x
_atom_site_fract_y
_atom_site_fract_z
Sr1 Sr 0.000 0.000 0.000
Cd1 Cd 0.211 0.000 0.631
Rh1 Rh 0.265 0.500 0.163
Rh2 Rh 0.461 0.000 0.482
# formation energy	-0.04	eV/atom
# N(E_F)	2.96	states/eV/f.u.
# ρ	8.47	g/cm³



[17]
# LaCu3W, relaxed, DFT PBE-GGA
data_LaCu3W
_cell_length_a 4.767
_cell_length_b 4.767
_cell_length_c 4.767
_cell_angle_alpha 90.00
_cell_angle_beta 90.00
_cell_angle_gamma 90.00
_symmetry_space_group_name_H-M 'P m -3 m'
_symmetry_Int_Tables_number 221
_symmetry_space_group_name_Hall '-P 4 2 3'
loop_
_atom_site_label
_atom_site_type_symbol
_atom_site_fract_x
_atom_site_fract_y
_atom_site_fract_z
La1 La 0.000 0.000 0.000
Cu1 Cu 0.000 0.000 0.500
W1 W 0.500 0.500 0.500
# formation energy	2.09	eV/atom
# N(E_F)	3.01	states/eV/f.u.
# ρ	7.87	g/cm³
# distance to the lowest polymorph of the same formula	667.7	kJ/mol of formula units



[18]
# SrLiMg4, relaxed, DFT PBE-GGA
data_SrLiMg4
_cell_length_a 8.760
_cell_length_b 8.760
_cell_length_c 8.760
_cell_angle_alpha 90.00
_cell_angle_beta 90.00
_cell_angle_gamma 90.00
_symmetry_space_group_name_H-M 'F -4 3 m'
_symmetry_Int_Tables_number 216
_symmetry_space_group_name_Hall 'F -4 2 3'
loop_
_atom_site_label
_atom_site_type_symbol
_atom_site_fract_x
_atom_site_fract_y
_atom_site_fract_z
Sr1 Sr 0.000 0.000 0.000
Li1 Li 0.250 0.250 0.250
Mg1 Mg 0.124 0.124 0.624
# formation energy	-0.02	eV/atom
# N(E_F)	3.82	states/eV/f.u.
# ρ	1.89	g/cm³
# distance to the lowest polymorph of the same formula	0.0	kJ/mol of formula units



[19]
# RbZnAsPb, relaxed, DFT PBE-GGA
data_RbZnAsPb
_cell_length_a 4.326
_cell_length_b 4.326
_cell_length_c 14.012
_cell_angle_alpha 90.00
_cell_angle_beta 90.00
_cell_angle_gamma 90.00
_symmetry_space_group_name_H-M 'P 4/n m m'
_symmetry_Int_Tables_number 129
loop_
_symmetry_equiv_pos_as_xyz
'x,y,z'
'-x,-y,-z'
'-y+1/2,x,z'
'y+1/2,-x,-z'
'-x+1/2,-y+1/2,z'
'x+1/2,y+1/2,-z'
'y,-x+1/2,z'
'-y,x+1/2,-z'
'x+1/2,-y,-z'
'-x+1/2,y,z'
'-y,-x,-z'
'y,x,z'
'-x,y+1/2,-z'
'x,-y+1/2,z'
'y+1/2,x+1/2,-z'
'-y+1/2,-x+1/2,z'
loop_
_atom_site_label
_atom_site_type_symbol
_atom_site_fract_x
_atom_site_fract_y
_atom_site_fract_z
Rb1 Rb 0.250 0.250 0.228
Zn1 Zn 0.250 0.750 0.000
As1 As 0.250 0.250 0.894
Pb1 Pb 0.250 0.750 0.500
# formation energy	-0.22	eV/atom
# N(E_F)	2.00	states/eV/f.u.
# ρ	5.48	g/cm³



[20]
# SrPuAlHg, relaxed, DFT PBE-GGA
data_SrPuAlHg
_cell_length_a 7.678
_cell_length_b 7.678
_cell_length_c 7.678
_cell_angle_alpha 90.00
_cell_angle_beta 90.00
_cell_angle_gamma 90.00
_symmetry_space_group_name_H-M 'F -4 3 m'
_symmetry_Int_Tables_number 216
_symmetry_space_group_name_Hall 'F -4 2 3'
loop_
_atom_site_label
_atom_site_type_symbol
_atom_site_fract_x
_atom_site_fract_y
_atom_site_fract_z
Sr1 Sr 0.000 0.000 0.000
Pu1 Pu 0.000 0.000 0.500
Al1 Al 0.250 0.250 0.750
Hg1 Hg 0.250 0.250 0.250
# formation energy	-0.10	eV/atom
# N(E_F)	12.04	states/eV/f.u.
# ρ	8.21	g/cm³